[1]
4
Lattice="0.0000 3.5855 3.5855 3.5855 0.0000 3.5855 3.5855 3.5855 0.0000" Properties=species:S:1:pos:R:3 comment="CaCl3 (GGA-PBE, optimized geometry)" sg=Fm-3m crystal_system=cubic pbc="T T T"
Ca 0.0000 0.0000 0.0000
Cl 1.7927 1.7927 1.7927
Cl 3.5855 3.5855 3.5855
Cl 5.3782 5.3782 5.3782


[2]
4
Lattice="-2.0744 2.0744 5.2525 2.0744 -2.0744 5.2525 2.0744 2.0744 -5.2525" Properties=species:S:1:pos:R:3 comment="CaCl3 (GGA-PBE, optimized geometry)" sg=I4/mmm crystal_system=tetragonal pbc="T T T"
Ca 0.0000 0.0000 0.0000
Cl 2.0744 0.0000 2.6262
Cl 0.0000 0.0000 5.2525
Cl 0.0000 2.0744 2.6262


[3]
5
Lattice="-3.6124 3.6124 3.6124 3.6124 -3.6124 3.6124 3.6124 3.6124 -3.6124" Properties=species:S:1:pos:R:3 comment="Ca4Cl (GGA-PBE, optimized geometry)" sg=Im-3m crystal_system=cubic pbc="T T T"
Ca 1.8062 1.8062 -1.8062
Ca 1.8062 -1.8062 1.8062
Ca -1.8062 1.8062 1.8062
Ca 1.8062 1.8062 1.8062
Cl 0.0000 0.0000 0.0000


[4]
6
Lattice="-3.7165 3.7165 3.2897 3.7165 -3.7165 3.2897 3.7165 3.7165 -3.2897" Properties=species:S:1:pos:R:3 comment="Ca2Cl (GGA-PBE, optimized geometry)" sg=I4/mcm crystal_system=tetragonal pbc="T T T"
Ca 4.9484 1.2318 0.0000
Ca 1.2318 2.4847 0.0000
Ca 2.4847 1.2318 3.2897
Ca -1.2318 2.4847 3.2897
Cl 0.0000 0.0000 1.6449
Cl 0.0000 0.0000 4.9346


Computed total magnetization (μB per cell) in order:
1.0, 0.0, 0.0, 1.9
Computed uncorrected formation energy (eV per atom) in order:
-1.294, -1.348, -0.220, -0.896
Computed total DFT energy (no corrections) (eV per atom) in order:
-3.18, -3.23, -2.19, -2.85